K2InAs, optimized geometry, DFT PBE; magnetization = 0.000 μB per atom; energy above the lowest structure with this stoichiometry = 47.2 kJ/mol of atoms; space group = I-42d; ΔE_f = 154 meV per atom
1.0
-2.4396 2.4396 11.5762
2.4396 -2.4396 11.5762
2.4396 2.4396 -11.5762
K In As
4 2 2
direct
0.1038 0.6250 0.9788
0.3750 0.3538 0.4788
0.6462 0.1250 0.0212
0.8750 0.8962 0.5212
0.2500 0.7500 0.5000
0.5000 0.5000 0.0000
0.0000 0.0000 0.0000
0.7500 0.2500 0.5000